Entry A
{"formula": "LaReSN2", "functional": "PBE", "state": "relaxed", "total_magnetization_mub_per_fu": 4.63, "volume_a3_per_cell": 103.9, "lattice": [[4.1348, 0.0000, 0.0000], [0.0000, 4.1348, 0.0000], [0.0000, 0.0000, 6.0750]], "species": ["La", "Re", "S", "N", "N"], "frac_coords": [[0.0000, 0.0000, 0.0000], [0.5000, 0.5000, 0.5000], [0.0000, 0.0000, 0.5000], [0.0000, 0.5000, 0.0000], [0.5000, 0.0000, 0.0000]]}

---

Entry B
{"formula": "LaReSN2", "functional": "PBE", "state": "relaxed", "total_magnetization_mub_per_fu": 0.00, "volume_a3_per_cell": 77.6, "lattice": [[3.9780, 0.0000, 0.0000], [0.0000, 3.9780, 0.0000], [0.0000, 0.0000, 4.9027]], "species": ["La", "Re", "S", "N", "N"], "frac_coords": [[0.0000, 0.0000, 0.0000], [0.5000, 0.5000, 0.5000], [0.5000, 0.5000, 0.0000], [0.0000, 0.5000, 0.5000], [0.5000, 0.0000, 0.5000]]}

---

Stability check: which of them is most stable? entry B.

---

Entry A
{"formula": "LaReS2N", "functional": "PBE", "state": "relaxed", "total_magnetization_mub_per_fu": 0.35, "volume_a3_per_cell": 90.5, "lattice": [[4.8657, 0.0000, 0.0000], [0.0000, 4.8657, 0.0000], [0.0000, 0.0000, 3.8234]], "species": ["La", "Re", "S", "S", "N"], "frac_coords": [[0.0000, 0.0000, 0.0000], [0.5000, 0.5000, 0.5000], [0.0000, 0.5000, 0.5000], [0.5000, 0.0000, 0.5000], [0.5000, 0.5000, 0.0000]]}

---

Entry B
{"formula": "LaReS2N", "functional": "PBE", "state": "relaxed", "total_magnetization_mub_per_fu": 3.82, "volume_a3_per_cell": 130.9, "lattice": [[5.5623, 0.0000, 0.0000], [0.0000, 5.5623, 0.0000], [0.0000, 0.0000, 4.2295]], "species": ["La", "Re", "S", "S", "N"], "frac_coords": [[0.0000, 0.0000, 0.0000], [0.5000, 0.5000, 0.5000], [0.0000, 0.5000, 0.0000], [0.5000, 0.0000, 0.0000], [0.0000, 0.0000, 0.5000]]}

---

Stability check: which of them is most stable? entry A.

---

Entry A
{"formula": "LaReSeN2", "functional": "PBE", "state": "relaxed", "total_magnetization_mub_per_fu": 0.00, "volume_a3_per_cell": 83.6, "lattice": [[4.0235, 0.0000, 0.0000], [0.0000, 4.0235, 0.0000], [0.0000, 0.0000, 5.1617]], "species": ["La", "Re", "Se", "N", "N"], "frac_coords": [[0.0000, 0.0000, 0.0000], [0.5000, 0.5000, 0.5000], [0.5000, 0.5000, 0.0000], [0.0000, 0.5000, 0.5000], [0.5000, 0.0000, 0.5000]]}

---

Entry B
{"formula": "LaReSeN2", "functional": "PBE", "state": "relaxed", "total_magnetization_mub_per_fu": 4.62, "volume_a3_per_cell": 110.5, "lattice": [[4.1582, 0.0000, 0.0000], [0.0000, 4.1582, 0.0000], [0.0000, 0.0000, 6.3892]], "species": ["La", "Re", "Se", "N", "N"], "frac_coords": [[0.0000, 0.0000, 0.0000], [0.5000, 0.5000, 0.5000], [0.0000, 0.0000, 0.5000], [0.0000, 0.5000, 0.0000], [0.5000, 0.0000, 0.0000]]}

---

Stability check: which of them is most stable? entry A.

---

Entry A
{"formula": "LaReSe2N", "functional": "PBE", "state": "relaxed", "total_magnetization_mub_per_fu": 3.78, "volume_a3_per_cell": 139.0, "lattice": [[5.8254, 0.0000, 0.0000], [0.0000, 5.8254, 0.0000], [0.0000, 0.0000, 4.0969]], "species": ["La", "Re", "Se", "Se", "N"], "frac_coords": [[0.0000, 0.0000, 0.0000], [0.5000, 0.5000, 0.5000], [0.0000, 0.5000, 0.0000], [0.5000, 0.0000, 0.0000], [0.0000, 0.0000, 0.5000]]}

---

Entry B
{"formula": "LaReSe2N", "functional": "PBE", "state": "relaxed", "total_magnetization_mub_per_fu": 0.50, "volume_a3_per_cell": 101.7, "lattice": [[5.1626, 0.0000, 0.0000], [0.0000, 5.1626, 0.0000], [0.0000, 0.0000, 3.8176]], "species": ["La", "Re", "Se", "Se", "N"], "frac_coords": [[0.0000, 0.0000, 0.0000], [0.5000, 0.5000, 0.5000], [0.0000, 0.5000, 0.5000], [0.5000, 0.0000, 0.5000], [0.5000, 0.5000, 0.0000]]}

---

Stability check: which of them is most stable? entry B.

---

Entry A
{"formula": "LaReTeN2", "functional": "PBE", "state": "relaxed", "total_magnetization_mub_per_fu": 0.01, "volume_a3_per_cell": 93.4, "lattice": [[4.1333, 0.0000, 0.0000], [0.0000, 4.1333, 0.0000], [0.0000, 0.0000, 5.4660]], "species": ["La", "Re", "Te", "N", "N"], "frac_coords": [[0.0000, 0.0000, 0.0000], [0.5000, 0.5000, 0.5000], [0.5000, 0.5000, 0.0000], [0.0000, 0.5000, 0.5000], [0.5000, 0.0000, 0.5000]]}

---

Entry B
{"formula": "LaReTeN2", "functional": "PBE", "state": "relaxed", "total_magnetization_mub_per_fu": 4.30, "volume_a3_per_cell": 123.0, "lattice": [[4.2337, 0.0000, 0.0000], [0.0000, 4.2337, 0.0000], [0.0000, 0.0000, 6.8642]], "species": ["La", "Re", "Te", "N", "N"], "frac_coords": [[0.0000, 0.0000, 0.0000], [0.5000, 0.5000, 0.5000], [0.0000, 0.0000, 0.5000], [0.0000, 0.5000, 0.0000], [0.5000, 0.0000, 0.0000]]}

---

Stability check: which of them is most stable? entry A.

---

Entry A
{"formula": "LaRh2N", "functional": "PBE", "state": "relaxed", "total_magnetization_mub_per_fu": 0.00, "volume_a3_per_cell": 306.9, "lattice": [[4.8651, 0.0000, 0.0000], [0.0000, 4.8651, 0.0000], [0.0000, 0.0000, 12.9662]], "species": ["La", "La", "La", "La", "Rh", "Rh", "Rh", "Rh", "Rh", "Rh", "Rh", "Rh", "N", "N", "N", "N"], "frac_coords": [[0.0000, 0.0000, 0.0000], [0.0000, 0.5000, 0.2500], [0.5000, 0.0000, 0.7500], [0.5000, 0.5000, 0.5000], [0.0663, 0.2500, 0.6250], [0.2500, 0.5663, 0.8750], [0.2500, 0.9337, 0.3750], [0.4337, 0.2500, 0.1250], [0.5663, 0.7500, 0.1250], [0.7500, 0.0663, 0.3750], [0.7500, 0.4337, 0.8750], [0.9337, 0.7500, 0.6250], [0.0000, 0.0000, 0.5000], [0.0000, 0.5000, 0.7500], [0.5000, 0.0000, 0.2500], [0.5000, 0.5000, 0.0000]]}

---

Entry B
{"formula": "LaRh2N", "functional": "PBE", "state": "relaxed", "total_magnetization_mub_per_fu": 1.98, "volume_a3_per_cell": 261.6, "lattice": [[6.3956, 0.0000, 0.0000], [0.0000, 6.3956, 0.0000], [0.0000, 0.0000, 6.3956]], "species": ["La", "La", "La", "La", "Rh", "Rh", "Rh", "Rh", "Rh", "Rh", "Rh", "Rh", "N", "N", "N", "N"], "frac_coords": [[0.0000, 0.0000, 0.0000], [0.0000, 0.5000, 0.5000], [0.5000, 0.0000, 0.5000], [0.5000, 0.5000, 0.0000], [0.2500, 0.2500, 0.2500], [0.2500, 0.2500, 0.7500], [0.2500, 0.7500, 0.2500], [0.2500, 0.7500, 0.7500], [0.7500, 0.2500, 0.2500], [0.7500, 0.2500, 0.7500], [0.7500, 0.7500, 0.2500], [0.7500, 0.7500, 0.7500], [0.0000, 0.0000, 0.5000], [0.0000, 0.5000, 0.0000], [0.5000, 0.0000, 0.0000], [0.5000, 0.5000, 0.5000]]}

---

Stability check: which of them is most stable? entry A.

---

Entry A
{"formula": "LaRhN2", "functional": "PBE", "state": "relaxed", "total_magnetization_mub_per_fu": 0.00, "volume_a3_per_cell": 211.0, "lattice": [[5.9538, 0.0000, 0.0000], [0.0000, 5.9538, 0.0000], [0.0000, 0.0000, 5.9538]], "species": ["La", "La", "La", "La", "Rh", "Rh", "Rh", "Rh", "N", "N", "N", "N", "N", "N", "N", "N"], "frac_coords": [[0.0000, 0.0000, 0.0000], [0.0000, 0.5000, 0.5000], [0.5000, 0.0000, 0.5000], [0.5000, 0.5000, 0.0000], [0.0000, 0.0000, 0.5000], [0.0000, 0.5000, 0.0000], [0.5000, 0.0000, 0.0000], [0.5000, 0.5000, 0.5000], [0.2500, 0.2500, 0.2500], [0.2500, 0.2500, 0.7500], [0.2500, 0.7500, 0.2500], [0.2500, 0.7500, 0.7500], [0.7500, 0.2500, 0.2500], [0.7500, 0.2500, 0.7500], [0.7500, 0.7500, 0.2500], [0.7500, 0.7500, 0.7500]]}

---

Entry B
{"formula": "LaRhN2", "functional": "PBE", "state": "relaxed", "total_magnetization_mub_per_fu": 0.00, "volume_a3_per_cell": 259.6, "lattice": [[4.9002, 0.0000, 0.0000], [0.0000, 4.9002, 0.0000], [0.0000, 0.0000, 10.8128]], "species": ["La", "La", "La", "La", "Rh", "Rh", "Rh", "Rh", "N", "N", "N", "N", "N", "N", "N", "N"], "frac_coords": [[0.0000, 0.0000, 0.0000], [0.0000, 0.5000, 0.2500], [0.5000, 0.0000, 0.7500], [0.5000, 0.5000, 0.5000], [0.0000, 0.0000, 0.5000], [0.0000, 0.5000, 0.7500], [0.5000, 0.0000, 0.2500], [0.5000, 0.5000, 0.0000], [0.1738, 0.2500, 0.6250], [0.2500, 0.6738, 0.8750], [0.2500, 0.8262, 0.3750], [0.3262, 0.2500, 0.1250], [0.6738, 0.7500, 0.1250], [0.7500, 0.1738, 0.3750], [0.7500, 0.3262, 0.8750], [0.8262, 0.7500, 0.6250]]}

---

Entry C
{"formula": "LaRhN2", "functional": "PBE", "state": "relaxed", "total_magnetization_mub_per_fu": 0.00, "volume_a3_per_cell": 232.8, "lattice": [[4.0022, 0.0000, 0.0000], [-2.0011, 3.4660, 0.0000], [0.0000, 0.0000, 16.7855]], "species": ["La", "La", "La", "Rh", "Rh", "Rh", "N", "N", "N", "N", "N", "N"], "frac_coords": [[0.0000, 0.0000, 0.0000], [0.3333, 0.6667, 0.6667], [0.6667, 0.3333, 0.3333], [0.0000, 0.0000, 0.5000], [0.3333, 0.6667, 0.1667], [0.6667, 0.3333, 0.8333], [0.0000, 0.0000, 0.3923], [0.0000, 0.0000, 0.6077], [0.3333, 0.6667, 0.0590], [0.3333, 0.6667, 0.2744], [0.6667, 0.3333, 0.7256], [0.6667, 0.3333, 0.9410]]}

---

Entry D
{"formula": "LaRhN2", "functional": "PBE", "state": "relaxed", "total_magnetization_mub_per_fu": 0.00, "volume_a3_per_cell": 183.7, "lattice": [[3.4002, 0.0000, 0.0000], [-1.7001, 2.9446, 0.0000], [0.0000, 0.0000, 18.3466]], "species": ["La", "La", "La", "Rh", "Rh", "Rh", "N", "N", "N", "N", "N", "N"], "frac_coords": [[0.0000, 0.0000, 0.0000], [0.3333, 0.6667, 0.6667], [0.6667, 0.3333, 0.3333], [0.0000, 0.0000, 0.5000], [0.3333, 0.6667, 0.1667], [0.6667, 0.3333, 0.8333], [0.0000, 0.0000, 0.1229], [0.0000, 0.0000, 0.8771], [0.3333, 0.6667, 0.5437], [0.3333, 0.6667, 0.7896], [0.6667, 0.3333, 0.2104], [0.6667, 0.3333, 0.4563]]}

---

Stability check: which of them is most stable? entry B.

---

Entry A
{"formula": "LaRhSN2", "functional": "PBE", "state": "relaxed", "total_magnetization_mub_per_fu": 1.74, "volume_a3_per_cell": 100.2, "lattice": [[4.0507, 0.0000, 0.0000], [0.0000, 4.0507, 0.0000], [0.0000, 0.0000, 6.1072]], "species": ["La", "Rh", "S", "N", "N"], "frac_coords": [[0.0000, 0.0000, 0.0000], [0.5000, 0.5000, 0.5000], [0.0000, 0.0000, 0.5000], [0.0000, 0.5000, 0.0000], [0.5000, 0.0000, 0.0000]]}

---

Entry B
{"formula": "LaRhSN2", "functional": "PBE", "state": "relaxed", "total_magnetization_mub_per_fu": 0.02, "volume_a3_per_cell": 77.2, "lattice": [[4.0262, 0.0000, 0.0000], [0.0000, 4.0262, 0.0000], [0.0000, 0.0000, 4.7623]], "species": ["La", "Rh", "S", "N", "N"], "frac_coords": [[0.0000, 0.0000, 0.0000], [0.5000, 0.5000, 0.5000], [0.5000, 0.5000, 0.0000], [0.0000, 0.5000, 0.5000], [0.5000, 0.0000, 0.5000]]}

---

Stability check: which of them is most stable? entry B.

---

Entry A
{"formula": "LaRhSeN2", "functional": "PBE", "state": "relaxed", "total_magnetization_mub_per_fu": 1.63, "volume_a3_per_cell": 106.6, "lattice": [[4.0650, 0.0000, 0.0000], [0.0000, 4.0650, 0.0000], [0.0000, 0.0000, 6.4497]], "species": ["La", "Rh", "Se", "N", "N"], "frac_coords": [[0.0000, 0.0000, 0.0000], [0.5000, 0.5000, 0.5000], [0.0000, 0.0000, 0.5000], [0.0000, 0.5000, 0.0000], [0.5000, 0.0000, 0.0000]]}

---

Entry B
{"formula": "LaRhSeN2", "functional": "PBE", "state": "relaxed", "total_magnetization_mub_per_fu": 1.86, "volume_a3_per_cell": 83.8, "lattice": [[4.1118, 0.0000, 0.0000], [0.0000, 4.1118, 0.0000], [0.0000, 0.0000, 4.9544]], "species": ["La", "Rh", "Se", "N", "N"], "frac_coords": [[0.0000, 0.0000, 0.0000], [0.5000, 0.5000, 0.5000], [0.5000, 0.5000, 0.0000], [0.0000, 0.5000, 0.5000], [0.5000, 0.0000, 0.5000]]}

---

Stability check: which of them is most stable? entry B.

---

Entry A
{"formula": "La2Ru2N", "functional": "PBE", "state": "relaxed", "total_magnetization_mub_per_fu": 0.00, "volume_a3_per_cell": 218.4, "lattice": [[5.6884, 0.0000, 0.0000], [0.0000, 5.6884, 0.0000], [0.0000, 0.0000, 6.7492]], "species": ["La", "La", "La", "La", "Ru", "Ru", "Ru", "Ru", "N", "N"], "frac_coords": [[0.0000, 0.5000, 0.2500], [0.0000, 0.5000, 0.7500], [0.5000, 0.0000, 0.2500], [0.5000, 0.0000, 0.7500], [0.0000, 0.0000, 0.2197], [0.0000, 0.0000, 0.7803], [0.5000, 0.5000, 0.2803], [0.5000, 0.5000, 0.7197], [0.0000, 0.0000, 0.5000], [0.5000, 0.5000, 0.0000]]}

---

Entry B
{"formula": "La2Ru2N", "functional": "PBE", "state": "relaxed", "total_magnetization_mub_per_fu": 0.00, "volume_a3_per_cell": 179.9, "lattice": [[5.9067, 0.0000, 0.0000], [0.0000, 5.9067, 0.0000], [0.0000, 0.0000, 5.1549]], "species": ["La", "La", "La", "La", "Ru", "Ru", "Ru", "Ru", "N", "N"], "frac_coords": [[0.1770, 0.3230, 0.0000], [0.3230, 0.8230, 0.0000], [0.6770, 0.1770, 0.0000], [0.8230, 0.6770, 0.0000], [0.1897, 0.6897, 0.5000], [0.3103, 0.1897, 0.5000], [0.6897, 0.8103, 0.5000], [0.8103, 0.3103, 0.5000], [0.0000, 0.0000, 0.5000], [0.5000, 0.5000, 0.5000]]}

---

Stability check: which of them is most stable? entry A.

---

Entry A
{"formula": "LaRuS2N", "functional": "PBE", "state": "relaxed", "total_magnetization_mub_per_fu": 0.00, "volume_a3_per_cell": 89.9, "lattice": [[4.8947, 0.0000, 0.0000], [0.0000, 4.8947, 0.0000], [0.0000, 0.0000, 3.7528]], "species": ["La", "Ru", "S", "S", "N"], "frac_coords": [[0.0000, 0.0000, 0.0000], [0.5000, 0.5000, 0.5000], [0.0000, 0.5000, 0.5000], [0.5000, 0.0000, 0.5000], [0.5000, 0.5000, 0.0000]]}

---

Entry B
{"formula": "LaRuS2N", "functional": "PBE", "state": "relaxed", "total_magnetization_mub_per_fu": 5.18, "volume_a3_per_cell": 129.1, "lattice": [[5.5121, 0.0000, 0.0000], [0.0000, 5.5121, 0.0000], [0.0000, 0.0000, 4.2497]], "species": ["La", "Ru", "S", "S", "N"], "frac_coords": [[0.0000, 0.0000, 0.0000], [0.5000, 0.5000, 0.5000], [0.0000, 0.5000, 0.0000], [0.5000, 0.0000, 0.0000], [0.0000, 0.0000, 0.5000]]}

---

Stability check: which of them is most stable? entry A.

---

Entry A
{"formula": "LaRuSe2N", "functional": "PBE", "state": "relaxed", "total_magnetization_mub_per_fu": 5.02, "volume_a3_per_cell": 141.1, "lattice": [[5.7832, 0.0000, 0.0000], [0.0000, 5.7832, 0.0000], [0.0000, 0.0000, 4.2179]], "species": ["La", "Ru", "Se", "Se", "N"], "frac_coords": [[0.0000, 0.0000, 0.0000], [0.5000, 0.5000, 0.5000], [0.0000, 0.5000, 0.0000], [0.5000, 0.0000, 0.0000], [0.0000, 0.0000, 0.5000]]}

---

Entry B
{"formula": "LaRuSe2N", "functional": "PBE", "state": "relaxed", "total_magnetization_mub_per_fu": 0.00, "volume_a3_per_cell": 100.1, "lattice": [[5.1544, 0.0000, 0.0000], [0.0000, 5.1544, 0.0000], [0.0000, 0.0000, 3.7681]], "species": ["La", "Ru", "Se", "Se", "N"], "frac_coords": [[0.0000, 0.0000, 0.0000], [0.5000, 0.5000, 0.5000], [0.0000, 0.5000, 0.5000], [0.5000, 0.0000, 0.5000], [0.5000, 0.5000, 0.0000]]}

---

Stability check: which of them is most stable? entry B.

---

Entry A
{"formula": "La4S3N", "functional": "PBE", "state": "relaxed", "total_magnetization_mub_per_fu": 0.00, "volume_a3_per_cell": 379.9, "lattice": [[8.2354, 0.0000, 0.0000], [0.0000, 11.5021, 0.0000], [0.0000, 0.0000, 4.0103]], "species": ["La", "La", "La", "La", "La", "La", "La", "La", "S", "S", "S", "S", "S", "S", "N", "N"], "frac_coords": [[0.0000, 0.2334, 0.0000], [0.0000, 0.7666, 0.0000], [0.2198, 0.0000, 0.5000], [0.2802, 0.5000, 0.5000], [0.5000, 0.2666, 0.0000], [0.5000, 0.7334, 0.0000], [0.7198, 0.5000, 0.5000], [0.7802, 0.0000, 0.5000], [0.0000, 0.5000, 0.0000], [0.2500, 0.2500, 0.5000], [0.2500, 0.7500, 0.5000], [0.5000, 0.0000, 0.0000], [0.7500, 0.2500, 0.5000], [0.7500, 0.7500, 0.5000], [0.0000, 0.0000, 0.0000], [0.5000, 0.5000, 0.0000]]}

---

Entry B
{"formula": "La4S3N", "functional": "PBE", "state": "relaxed", "total_magnetization_mub_per_fu": 0.00, "volume_a3_per_cell": 190.9, "lattice": [[5.7582, 0.0000, 0.0000], [0.0000, 5.7582, 0.0000], [0.0000, 0.0000, 5.7582]], "species": ["La", "La", "La", "La", "S", "S", "S", "N"], "frac_coords": [[0.0000, 0.0000, 0.0000], [0.0000, 0.5000, 0.5000], [0.5000, 0.0000, 0.5000], [0.5000, 0.5000, 0.0000], [0.0000, 0.0000, 0.5000], [0.0000, 0.5000, 0.0000], [0.5000, 0.0000, 0.0000], [0.5000, 0.5000, 0.5000]]}

---

Stability check: which of them is most stable? entry A.